A plane-wave DFT calculation with PBE was carried out for a relaxed structure of PmTmLuZn.

abc: 7.5191 7.5191 7.5191
angles: 90.00 90.00 90.00
With the nearest neighbours (Å) after each atom.
Space group F-43m (No. 216)
Asymmetric unit:
Pm 0.0000 0.0000 0.0000 (multiplicity 4)  4 Zn 3.26, 4 Lu 3.26
Tm 0.0000 0.0000 0.5000 (multiplicity 4)  4 Zn 3.26, 4 Lu 3.26
Lu 0.2500 0.2500 0.7500 (multiplicity 4)  4 Pm 3.26, 4 Tm 3.26
Zn 0.2500 0.2500 0.2500 (multiplicity 4)  4 Pm 3.26, 4 Tm 3.26

* total DFT energy (no corrections): -59.68 eV/cell
* calculated formation energy: 0.025 eV per atom
* crystal system: cubic


A plane-wave DFT calculation with PBE was carried out for a relaxed structure of CoI2Br.

abc: 7.4888 7.4888 9.6786
angles: 90.00 90.00 90.00
With the nearest neighbours (Å) after each atom.
Space group I-42d (No. 122)
Asymmetric unit:
Co 0.0000 0.0000 0.0000 (multiplicity 4)  4 I 2.51
I 0.1526 0.2500 0.1250 (multiplicity 8)  2 Co 2.51
Br 0.0000 0.0000 0.5000 (multiplicity 4)  4 I 3.43

* total DFT energy (no corrections): -44.51 eV/cell
* crystal system: tetragonal


A plane-wave DFT calculation with PBE was carried out for a relaxed structure of SrGa2CuOs.

abc: 5.5297 5.5297 4.9846
angles: 90.00 90.00 90.00
With the nearest neighbours (Å) after each atom.
Space group P4/mmm (No. 123)
Asymmetric unit:
Sr 0.0000 0.0000 0.0000 (multiplicity 1)  2 Cu 2.49, 4 Ga 2.76
Ga 0.0000 0.5000 0.0000 (multiplicity 2)  2 Sr 2.76
Cu 0.0000 0.0000 0.5000 (multiplicity 1)  2 Sr 2.49
Os 0.5000 0.5000 0.5000 (multiplicity 1)  8 Ga 3.72, 4 Cu 3.91

* total DFT energy (no corrections): -12.33 eV/cell
* calculated formation energy: 2.147 eV per atom
* crystal system: tetragonal


A plane-wave DFT calculation with PBE was carried out for a relaxed structure of HgIrI3.

abc: 5.4728 5.4728 5.4728
angles: 90.00 90.00 90.00
With the nearest neighbours (Å) after each atom.
Space group Pm-3m (No. 221)
Asymmetric unit:
Hg 0.0000 0.0000 0.0000 (multiplicity 1)  12 I 3.87
Ir 0.5000 0.5000 0.5000 (multiplicity 1)  6 I 2.74
I 0.0000 0.5000 0.5000 (multiplicity 3)  2 Ir 2.74

* total DFT energy (no corrections): -12.26 eV/cell
* crystal system: cubic


A plane-wave DFT calculation with PBE was carried out for a relaxed structure of NaLa2RhO6.

abc: 5.6160 6.0245 9.7906
angles: 90.00 124.44 90.00
With the nearest neighbours (Å) after each atom.
Space group P2_1/c (No. 14)
Asymmetric unit:
Na 0.0000 0.0000 0.0000 (multiplicity 2)  6 O 2.28-2.35
La 0.2291 0.0704 0.7468 (multiplicity 4)  5 O 2.38-2.64
Rh 0.5000 0.0000 0.5000 (multiplicity 2)  6 O 1.99-2.00
O 0.1562 0.1734 0.4491 (multiplicity 4)  1 Rh 1.99
O 0.2701 0.7192 0.4350 (multiplicity 4)  1 Rh 2.00
O 0.3811 0.0471 0.2677 (multiplicity 4)  1 Rh 2.00

* total DFT energy (no corrections): -141.16 eV/cell
* crystal system: monoclinic


A plane-wave DFT calculation with PBE was carried out for a relaxed structure of Li2CeIrO6.

abc: 5.3914 5.5406 9.5070
angles: 90.00 124.30 90.00
With the nearest neighbours (Å) after each atom.
Space group P2_1/c (No. 14)
Asymmetric unit:
Li 0.2233 0.0202 0.2393 (multiplicity 4)  3 O 2.03-2.06
Ce 0.0000 0.0000 0.5000 (multiplicity 2)  6 O 2.21-2.31
Ir 0.5000 0.0000 0.0000 (multiplicity 2)  6 O 1.94-1.97
O 0.1492 0.0779 0.7703 (multiplicity 4)  1 Ir 1.97, 1 Li 2.03
O 0.2446 0.6556 0.5563 (multiplicity 4)  1 Ir 1.94, 1 Li 2.05
O 0.4363 0.1967 0.5768 (multiplicity 4)  1 Ir 1.94, 1 Li 2.06

* total DFT energy (no corrections): -133.08 eV/cell
* crystal system: monoclinic


A plane-wave DFT calculation with PBE was carried out for a relaxed structure of ZrZn2Hg.

abc: 3.0587 4.4546 5.6110
angles: 90.00 90.00 90.00
With the nearest neighbours (Å) after each atom.
Space group Pmmm (No. 47)
Asymmetric unit:
Zr 0.0000 0.0000 0.0000 (multiplicity 1)  8 Zn 2.99, 2 Zr 3.06, 4 Hg 3.20
Zn 0.5000 0.5000 0.2284 (multiplicity 2)  1 Zn 2.56, 2 Hg 2.70
Hg 0.5000 0.0000 0.5000 (multiplicity 1)  4 Zn 2.70

* total DFT energy (no corrections): -11.87 eV/cell
* calculated formation energy: -0.117 eV per atom
* crystal system: orthorhombic


A plane-wave DFT calculation with PBE was carried out for a relaxed structure of Mn3Pd2Au4.

abc: 13.0004 9.5070 4.8684
angles: 90.00 98.87 90.00
With the nearest neighbours (Å) after each atom.
Space group C2/c (No. 15)
Asymmetric unit:
Mn 0.0000 0.1165 0.2500 (multiplicity 4)  6 Pd 2.70-2.90, 4 Au 2.80-2.85
Mn 0.1678 0.3717 0.0800 (multiplicity 8)  2 Pd 2.72-2.86, 8 Au 2.76-2.87
Pd 0.1097 0.1255 0.8152 (multiplicity 8)  5 Mn 2.70-2.90, 4 Au 2.76-2.83, 1 Pd 2.83
Au 0.0559 0.3708 0.5237 (multiplicity 8)  1 Pd 2.76, 5 Mn 2.78-2.87, 4 Au 2.82-2.86
Au 0.2218 0.1220 0.3610 (multiplicity 8)  3 Pd 2.76-2.83, 5 Mn 2.76-2.87, 2 Au 2.83-2.86

* total DFT energy (no corrections): -208.66 eV/cell
* calculated formation energy: -0.129 eV per atom
* crystal system: monoclinic